(1)
VASP calculation (GGA-PBE) on a geometry-optimized La3Nd2Sm2 structure.

Geometry as CIF:
```
data_La3Nd2Sm2
_space_group_name_H-M_alt 'P 1 2/m 1'
_space_group_IT_number 10
_cell_length_a 5.824
_cell_length_b 3.483
_cell_length_c 12.513
_cell_angle_alpha 90.00
_cell_angle_beta 103.26
_cell_angle_gamma 90.00
loop_
_space_group_symop_operation_xyz
'x,y,z'
'-x,-y,-z'
'-x,y,-z'
'x,-y,z'
loop_
_atom_site_label
_atom_site_fract_x
_atom_site_fract_y
_atom_site_fract_z
La1 0.000 0.000 0.000
La2 0.280 0.000 0.567
Nd1 0.139 0.500 0.279
Sm1 0.427 0.000 0.851
```

Calculated values
**Energy relative to the lowest polymorph listed for this composition**: 100.1 meV/atom
**ΔH_f (0 K)**: 0.119 eV per atom

=====

(2)
VASP calculation (GGA-PBE) on a geometry-optimized PmPrNd4Er2 structure.

Geometry as CIF:
```
data_PmPrNd4Er2
_space_group_name_H-M_alt 'P 1 2/m 1'
_space_group_IT_number 10
_cell_length_a 6.286
_cell_length_b 3.649
_cell_length_c 12.049
_cell_angle_alpha 90.00
_cell_angle_beta 100.11
_cell_angle_gamma 90.00
loop_
_space_group_symop_operation_xyz
'x,y,z'
'-x,-y,-z'
'-x,y,-z'
'x,-y,z'
loop_
_atom_site_label
_atom_site_fract_x
_atom_site_fract_y
_atom_site_fract_z
Pm1 0.000 0.000 0.000
Pr1 0.000 0.500 0.500
Nd1 0.251 0.500 0.251
Nd2 0.253 0.000 0.753
Er1 0.500 0.000 0.500
Er2 0.500 0.500 0.000
```

Calculated values
**ΔH_f (0 K)**: 0.016 eV per atom

=====

(3)
VASP calculation (GGA-PBE) on a geometry-optimized TlIr2O structure.

Geometry as CIF:
```
data_TlIr2O
_space_group_name_H-M_alt 'I -4 2 d'
_space_group_IT_number 122
_space_group_name_Hall 'I -4 2bw'
_cell_length_a 4.806
_cell_length_b 4.806
_cell_length_c 13.057
_cell_angle_alpha 90.00
_cell_angle_beta 90.00
_cell_angle_gamma 90.00
loop_
_atom_site_label
_atom_site_fract_x
_atom_site_fract_y
_atom_site_fract_z
Tl1 0.000 0.000 0.000
Ir1 0.076 0.250 0.625
O1 0.000 0.000 0.500
```

Calculated values
**Energy relative to the lowest polymorph listed for this composition**: 0.0 meV/atom
**Raw formation energy**: 334 meV per atom

=====

(4)
VASP calculation (GGA-PBE) on a geometry-optimized Tb2TmHg5 structure.

Geometry as CIF:
```
data_Tb2TmHg5
_space_group_name_H-M_alt 'I 4/m m m'
_space_group_IT_number 139
_space_group_name_Hall '-I 4 2'
_cell_length_a 5.193
_cell_length_b 5.193
_cell_length_c 14.609
_cell_angle_alpha 90.00
_cell_angle_beta 90.00
_cell_angle_gamma 90.00
loop_
_atom_site_label
_atom_site_fract_x
_atom_site_fract_y
_atom_site_fract_z
Tb1 0.000 0.000 0.237
Tm1 0.000 0.000 0.500
Hg1 0.000 0.000 0.000
Hg2 0.000 0.500 0.122
```

Calculated values
**ΔH_f (0 K)**: -0.405 eV per atom

=====

(5)
VASP calculation (GGA-PBE) on a geometry-optimized K2LiF4 structure.

Geometry as CIF:
```
data_K2LiF4
_space_group_name_H-M_alt 'I 4/m m m'
_space_group_IT_number 139
_space_group_name_Hall '-I 4 2'
_cell_length_a 3.978
_cell_length_b 3.978
_cell_length_c 13.593
_cell_angle_alpha 90.00
_cell_angle_beta 90.00
_cell_angle_gamma 90.00
loop_
_atom_site_label
_atom_site_fract_x
_atom_site_fract_y
_atom_site_fract_z
K1 0.000 0.000 0.141
Li1 0.000 0.000 0.500
F1 0.000 0.000 0.340
F2 0.000 0.500 0.000
```

Calculated values
**Energy relative to the lowest polymorph listed for this composition**: 0.0 meV/atom
**Raw formation energy**: -2400 meV per atom

=====

(6)
VASP calculation (GGA-PBE) on a geometry-optimized MnZnCrTc structure.

Geometry as CIF:
```
data_MnZnCrTc
_space_group_name_H-M_alt 'F -4 3 m'
_space_group_IT_number 216
_space_group_name_Hall 'F -4 2 3'
_cell_length_a 5.955
_cell_length_b 5.955
_cell_length_c 5.955
_cell_angle_alpha 90.00
_cell_angle_beta 90.00
_cell_angle_gamma 90.00
loop_
_atom_site_label
_atom_site_fract_x
_atom_site_fract_y
_atom_site_fract_z
Mn1 0.000 0.000 0.000
Zn1 0.250 0.250 0.250
Cr1 0.250 0.250 0.750
Tc1 0.000 0.000 0.500
```

Calculated values
**ΔH_f (0 K)**: 0.121 eV per atom

=====

Result set for volume: 247.1, 272.1, 301.6, 393.9, 215.1, 211.1 Å³/cell, one per record in the order listed.
Result set for total energy: -4.70, -4.70, -5.93, -2.31, -4.06, -7.49 eV/atom, one per record in the order listed.